# HfNiIr

A relaxed structure of HfNiIr (GGA-PBE, Alexandria via LeMat-Bulk).

Structure (POSCAR):
```
HfNiIr
1.0
3.5555 0.0000 0.0000
0.0000 3.7024 0.0000
0.0000 0.0000 3.9594
Hf Ni Ir
1 1 1
Direct
0.0000 0.0000 0.0000
0.5000 0.0000 0.5000
0.0000 0.5000 0.5000
```

Values from the calculation:
**DOS(E_F)**: 2.51 states/eV per cell
**Calculated formation energy**: -0.69 eV per formula unit
**Total moment**: 0.0 μB/f.u.